Entry 1:
The following is a PBE calculation of a relaxed Sr3AcCd4 crystal, from Alexandria via LeMat-Bulk.

a b c (Å): 4.074 4.074 16.219
angles (deg): 90.00 90.00 90.00
Fractional positions:
Cd 0.000 0.000 0.876
Cd 0.000 0.000 0.375
Sr 0.500 0.500 0.500
Cd 0.000 0.000 0.124
Sr 0.500 0.500 0.250
Ac 0.500 0.500 0.000
Sr 0.500 0.500 0.750
Cd 0.000 0.000 0.625

Output
- density of states at the Fermi level (states/eV/atom) = 0.8254
- E_tot (eV per atom) = -1.93
- energy of formation from the pure elements (eV/f.u.) = -2.61
- space-group type = P4/mmm (123)
- volume (Å³/cell) = 269.3

=====

Entry 2:
The following is a PBE calculation of a relaxed Cu3B7ClO13 crystal, from Alexandria via LeMat-Bulk.

a b c (Å): 8.544 8.597 12.107
angles (deg): 90.00 90.00 90.00
Fractional positions:
B 0.745 0.756 0.848
Cu 0.528 0.486 0.844
O 0.861 0.678 0.778
O 0.956 0.916 0.696
B 0.745 0.744 0.348
O 0.250 0.272 0.606
B 0.748 0.909 0.522
Cu 0.250 0.757 0.115
O 0.021 0.831 0.114
O 0.170 0.120 0.411
O 0.250 0.228 0.106
O 0.470 0.669 0.115
O 0.830 0.880 0.911
O 0.562 0.911 0.190
B 0.252 0.091 0.022
B 0.594 0.753 0.676
B 0.751 0.957 0.993
Cu 0.528 0.014 0.344
B 0.002 0.002 0.596
B 0.903 0.756 0.677
B 0.406 0.253 0.676
B 0.002 0.498 0.096
B 0.505 0.499 0.596
O 0.169 0.961 0.572
B 0.998 0.998 0.096
B 0.255 0.256 0.848
B 0.252 0.409 0.522
Cu 0.033 0.981 0.844
O 0.530 0.331 0.615
O 0.438 0.089 0.690
O 0.661 0.466 0.076
Cl 0.753 0.217 0.332
Cu 0.750 0.257 0.115
B 0.594 0.747 0.176
O 0.410 0.462 0.991
O 0.044 0.084 0.196
O 0.590 0.538 0.491
O 0.830 0.620 0.411
O 0.670 0.860 0.421
O 0.470 0.831 0.615
O 0.909 0.547 0.000
O 0.590 0.962 0.991
O 0.622 0.669 0.281
O 0.378 0.169 0.281
O 0.562 0.589 0.690
O 0.670 0.640 0.921
O 0.750 0.728 0.106
O 0.410 0.038 0.491
O 0.956 0.584 0.196
B 0.495 0.501 0.096
B 0.505 0.001 0.096
O 0.979 0.331 0.114
O 0.091 0.453 0.500
O 0.861 0.822 0.278
O 0.378 0.331 0.781
O 0.339 0.534 0.576
O 0.169 0.539 0.072
Cl 0.247 0.717 0.332
B 0.903 0.744 0.177
O 0.170 0.380 0.911
Cu 0.250 0.743 0.615
B 0.097 0.244 0.177
B 0.751 0.543 0.493
O 0.139 0.178 0.778
Cu 0.472 0.986 0.844
B 0.998 0.502 0.596
B 0.249 0.043 0.493
O 0.750 0.772 0.606
B 0.495 0.999 0.596
B 0.406 0.247 0.176
O 0.622 0.831 0.781
O 0.979 0.169 0.614
Cu 0.967 0.019 0.344
Cu 0.472 0.514 0.344
Cl 0.247 0.783 0.832
O 0.044 0.416 0.696
Cu 0.033 0.519 0.344
O 0.021 0.669 0.614
B 0.097 0.256 0.677
O 0.438 0.411 0.190
Cu 0.967 0.481 0.844
B 0.255 0.244 0.348
O 0.330 0.140 0.921
B 0.249 0.457 0.993
O 0.909 0.953 0.500
O 0.091 0.047 0.000
O 0.831 0.461 0.572
O 0.139 0.322 0.278
Cl 0.753 0.283 0.832
O 0.831 0.039 0.072
B 0.748 0.591 0.022
O 0.530 0.169 0.115
O 0.661 0.034 0.576
O 0.330 0.360 0.421
Cu 0.750 0.243 0.615
O 0.339 0.966 0.076

Output
- formation energy from raw total energies (eV per formula unit) = -45.37
- density of states at the Fermi level (states/eV/atom) = 0.1621
- E_tot (eV per atom) = -7.11
- space-group type = Pca2_1 (29)
- volume (Å³/cell) = 889.3

=====

Entry 3:
The following is a PBE calculation of a relaxed SrPrCuGe crystal, from Alexandria via LeMat-Bulk.

a b c (Å): 5.276 5.276 5.276
angles (deg): 60.00 60.00 60.00
Fractional positions:
Sr 0.000 0.000 0.000
Cu 0.750 0.750 0.750
Ge 0.250 0.250 0.250
Pr 0.500 0.500 0.500

Output
- density of states at the Fermi level (states/eV/atom) = 0.3800
- E_tot (eV per atom) = -4.15
- energy of formation from the pure elements (eV/f.u.) = -1.43
- space-group type = F-43m (216)
- volume (Å³/cell) = 103.8

=====

Entry 4:
The following is a PBE calculation of a relaxed ZrCrRe2 crystal, from Alexandria via LeMat-Bulk.

a b c (Å): 5.244 5.244 5.244
angles (deg): 145.52 129.01 63.01
Fractional positions:
Zr 0.750 0.250 0.500
Re 0.488 0.488 0.000
Cr 0.250 0.750 0.500
Re 0.012 0.012 0.000

Output
- density of states at the Fermi level (states/eV/atom) = 0.7709
- E_tot (eV per atom) = -10.75
- energy of formation from the pure elements (eV/f.u.) = 0.08
- excess energy over the best structure of this formula in the dataset (meV per atom) = 41.0
- space-group type = Immm (71)
- volume (Å³/cell) = 62.7

=====

Entry 5:
The following is a PBE calculation of a relaxed FeTe2Ru crystal, from Alexandria via LeMat-Bulk.

a b c (Å): 3.917 3.918 6.418
angles (deg): 89.83 90.00 90.00
Fractional positions:
Ru 0.500 0.875 0.625
Te 0.000 0.874 0.885
Te 0.500 0.376 0.365
Fe 0.000 0.375 0.625

Output
- formation energy from raw total energies (eV per formula unit) = -0.10
- density of states at the Fermi level (states/eV/atom) = 1.0890
- E_tot (eV per atom) = -6.03
- excess energy over the best structure of this formula in the dataset (meV per atom) = 0.0
- space-group type = Pm (6)
- volume (Å³/cell) = 98.5

=====

Entry 6:
The following is a PBE calculation of a relaxed CsIn4Au2 crystal, from Alexandria via LeMat-Bulk.

a b c (Å): 4.852 4.968 8.681
angles (deg): 106.63 90.00 90.00
Fractional positions:
In 0.500 0.821 0.641
Au 0.500 0.413 0.827
Au 0.500 0.587 0.173
In 0.000 0.686 0.373
In 0.000 0.314 0.627
Cs 0.000 0.000 0.000
In 0.500 0.179 0.359

Output
- density of states at the Fermi level (states/eV/atom) = 0.3633
- E_tot (eV per atom) = -2.78
- energy of formation from the pure elements (eV/f.u.) = -1.11
- excess energy over the best structure of this formula in the dataset (meV per atom) = 29.2
- space-group type = Cmmm (65)
- volume (Å³/cell) = 200.5

=====

Entry 7:
The following is a PBE calculation of a relaxed Mg4BiPd5 crystal, from Alexandria via LeMat-Bulk.

a b c (Å): 3.265 3.265 16.195
angles (deg): 90.00 90.00 90.00
Fractional positions:
Pd 0.500 0.500 0.875
Bi 0.000 0.000 0.000
Mg 0.000 0.000 0.594
Pd 0.500 0.500 0.500
Mg 0.000 0.000 0.784
Mg 0.000 0.000 0.216
Pd 0.500 0.500 0.688
Pd 0.500 0.500 0.312
Pd 0.500 0.500 0.125
Mg 0.000 0.000 0.406

Output
- density of states at the Fermi level (states/eV/atom) = 0.3439
- E_tot (eV per atom) = -4.25
- energy of formation from the pure elements (eV/f.u.) = -6.31
- space-group type = P4/mmm (123)
- volume (Å³/cell) = 172.7

=====

Entry 8:
The following is a PBE calculation of a relaxed La2Nd12Sm crystal, from Alexandria via LeMat-Bulk.

a b c (Å): 6.639 6.639 25.657
angles (deg): 90.00 90.00 90.00
Fractional positions:
La 0.000 0.500 0.735
Nd 0.500 0.500 0.662
Nd 0.000 0.000 0.215
Nd 0.668 0.168 0.438
La 0.500 0.000 0.735
Nd 0.812 0.312 0.113
Nd 0.000 0.000 0.785
Nd 0.332 0.168 0.562
Nd 0.832 0.668 0.438
Nd 0.500 0.500 0.785
Nd 0.668 0.832 0.562
Nd 0.168 0.668 0.562
La 0.500 0.000 0.265
La 0.000 0.500 0.265
Nd 0.188 0.688 0.113
Nd 0.332 0.832 0.438
Nd 0.312 0.812 0.887
Nd 0.832 0.332 0.562
Sm 0.000 0.500 0.000
Nd 0.688 0.188 0.887
Nd 0.312 0.188 0.113
Nd 0.500 0.500 0.338
Nd 0.688 0.812 0.113
Nd 0.000 0.000 0.338
Nd 0.500 0.500 0.215
Nd 0.188 0.312 0.887
Sm 0.500 0.000 0.000
Nd 0.000 0.000 0.662
Nd 0.812 0.688 0.887
Nd 0.168 0.332 0.438

Output
- density of states at the Fermi level (states/eV/atom) = 1.4026
- E_tot (eV per atom) = -4.50
- energy of formation from the pure elements (eV/f.u.) = 4.34
- space-group type = P4/nbm (125)
- volume (Å³/cell) = 1130.9

=====

Entry 9:
The following is a PBE calculation of a relaxed ZrBeMo2S crystal, from Alexandria via LeMat-Bulk.

a b c (Å): 5.028 4.800 5.028
angles (deg): 90.00 90.00 90.00
Fractional positions:
S 0.000 0.500 0.000
Mo 0.500 0.000 0.000
Mo 0.000 0.000 0.500
Be 0.500 0.500 0.500
Zr 0.000 0.000 0.000

Output
- formation energy from raw total energies (eV per formula unit) = 9.49
- density of states at the Fermi level (states/eV/atom) = 1.1232
- E_tot (eV per atom) = -5.72
- space-group type = P4/mmm (123)
- volume (Å³/cell) = 121.3

=====

Entry 10:
The following is a PBE calculation of a relaxed B3IrN3 crystal, from Alexandria via LeMat-Bulk.

a b c (Å): 4.689 4.689 4.689
angles (deg): 90.00 90.00 90.00
Fractional positions:
B 0.000 0.500 0.750
N 0.500 0.000 0.750
N 0.500 0.000 0.250
N 0.000 0.250 0.500
B 0.000 0.500 0.250
Ir 0.000 0.000 0.000
Ir 0.500 0.500 0.500
N 0.000 0.750 0.500
B 0.750 0.000 0.500
B 0.500 0.250 0.000
N 0.750 0.500 0.000
B 0.500 0.750 0.000
N 0.250 0.500 0.000
B 0.250 0.000 0.500

Output
- formation energy from raw total energies (eV per formula unit) = 4.08
- density of states at the Fermi level (states/eV/atom) = 0.6123
- E_tot (eV per atom) = -7.11
- space-group type = Pm-3n (223)
- volume (Å³/cell) = 103.1

=====

Entry 11:
The following is a PBE calculation of a relaxed Tm3Fe2Si3 crystal, from Alexandria via LeMat-Bulk.

a b c (Å): 5.552 5.552 13.424
angles (deg): 90.00 90.00 137.18
Fractional positions:
Tm 0.081 0.919 0.612
Tm 0.919 0.081 0.112
Si 0.377 0.623 0.960
Si 0.377 0.623 0.540
Si 0.623 0.377 0.460
Tm 0.364 0.636 0.750
Fe 0.214 0.786 0.419
Tm 0.919 0.081 0.388
Tm 0.636 0.364 0.250
Si 0.675 0.325 0.750
Fe 0.786 0.214 0.919
Fe 0.786 0.214 0.581
Tm 0.081 0.919 0.888
Si 0.623 0.377 0.040
Si 0.325 0.675 0.250
Fe 0.214 0.786 0.081

Output
- formation energy from raw total energies (eV per formula unit) = -5.59
- density of states at the Fermi level (states/eV/atom) = 0.4716
- E_tot (eV per atom) = -6.52
- space-group type = Cmcm (63)
- volume (Å³/cell) = 281.3